# 1
## PrZnPd (PBE-GGA)

Data for crystalline PrZnPd at its relaxed geometry.

As for the total energy: -36.38 eV for the cell shown. Its mass density is 8.1 g cm⁻³. Its calculated formation energy is -0.304 eV per atom. The value obtained for the volume is 21.34 A^3/atom.

It has space group P-62m (No. 189), with a = 8.0988 Å, b = 8.0988 Å, c = 3.3807 Å, α = 90.00°, β = 90.00° and γ = 120.00°. The inequivalent atoms are Pr at (0.0000, 0.2946, 0.0000), Zn at (0.0000, 0.0000, 0.5000), Zn at (0.3333, 0.6667, 0.0000) and Pd at (0.0000, 0.6348, 0.5000).



# 2
## SrBeFeP2 (PBE-GGA)

Data for crystalline SrBeFeP2 at its relaxed geometry.

As for the total energy: -55.53 eV for the cell shown. Its mass density is 4.3 g cm⁻³. The value obtained for the volume is 16.45 A^3/atom.

It has space group I-4m2 (No. 119), with a = 3.7360 Å, b = 3.7360 Å, c = 11.7871 Å, α = 90.00°, β = 90.00° and γ = 90.00°. The inequivalent atoms are Sr at (0.0000, 0.0000, 0.0000), Be at (0.0000, 0.5000, 0.2500), Fe at (0.0000, 0.5000, 0.7500) and P at (0.0000, 0.0000, 0.3512).



# 3
## NaNd2OsC6 (PBE-GGA)

Data for crystalline NaNd2OsC6 at its relaxed geometry.

As for the total energy: -148.07 eV for the cell shown. Its mass density is 7.3 g cm⁻³. The value obtained for the volume is 13.06 A^3/atom.

It has space group P2_1/c (No. 14), with a = 5.7147 Å, b = 7.3644 Å, c = 7.6442 Å, α = 90.00°, β = 125.73° and γ = 90.00°. The inequivalent atoms are Na at (0.0000, 0.0000, 0.0000), Nd at (0.2135, 0.1055, 0.7439), Os at (0.5000, 0.0000, 0.5000), C at (0.2716, 0.7273, 0.4389), C at (0.3804, 0.6838, 0.1463) and C at (0.4530, 0.7357, 0.3553).



# 4
## NaZrAgS3 (PBE-GGA)

Data for crystalline NaZrAgS3 at its relaxed geometry.

For the polymorph energy (0 for the lowest one), the calculation gives 41 meV per atom. As for the total energy: -125.44 eV for the cell shown. Its mass density is 4.1 g cm⁻³. The value obtained for the volume is 21.33 A^3/atom.

It has space group Cmcm (No. 63), with a = 3.7911 Å, b = 13.3131 Å, c = 10.1411 Å, α = 90.00°, β = 90.00° and γ = 90.00°. The inequivalent atoms are Na at (0.0000, 0.2385, 0.2500), Zr at (0.0000, 0.5000, 0.0000), Ag at (0.0000, 0.0550, 0.7500), S at (0.0000, 0.1329, 0.5330) and S at (0.0000, 0.4265, 0.7500).



# 5
## NaScFeMo (PBE-GGA)

Data for crystalline NaScFeMo at its relaxed geometry.

For the polymorph energy (0 for the lowest one), the calculation gives 333 meV per atom. As for the total energy: -91.48 eV for the cell shown. Its mass density is 5.0 g cm⁻³. The value obtained for the volume is 18.09 A^3/atom.

It has space group F-43m (No. 216), with a = 6.6152 Å, b = 6.6152 Å, c = 6.6152 Å, α = 90.00°, β = 90.00° and γ = 90.00°. The inequivalent atoms are Na at (0.0000, 0.0000, 0.0000), Sc at (0.0000, 0.0000, 0.5000), Fe at (0.2500, 0.2500, 0.2500) and Mo at (0.2500, 0.2500, 0.7500).



# 6
## Dy2HoGa3CuNi2 (PBE-GGA)

Data for crystalline Dy2HoGa3CuNi2 at its relaxed geometry.

As for the total energy: -86.13 eV for the cell shown. Its mass density is 9.0 g cm⁻³. The value obtained for the volume is 17.97 A^3/atom.

It has space group Amm2 (No. 38), with a = 3.7127 Å, b = 12.2812 Å, c = 7.0927 Å, α = 90.00°, β = 90.00° and γ = 90.00°. The inequivalent atoms are Dy at (0.0000, 0.2067, 0.0000), Ho at (0.0000, 0.0000, 0.6201), Ga at (0.5000, 0.0000, 0.9514), Ga at (0.5000, 0.1271, 0.3346), Cu at (0.0000, 0.0000, 0.2073) and Ni at (0.5000, 0.1662, 0.7067).



# 7
## Nd2Zr2O7 (PBE-GGA)

Data for crystalline Nd2Zr2O7 at its relaxed geometry.

As for the total energy: -789.25 eV for the cell shown. Its mass density is 6.3 g cm⁻³. The value obtained for the volume is 13.91 A^3/atom.

It has space group Fd-3m (No. 227, origin choice 2), with a = 10.6983 Å, b = 10.6983 Å, c = 10.6983 Å, α = 90.00°, β = 90.00° and γ = 90.00°. The inequivalent atoms are Nd at (0.0000, 0.0000, 0.0000), Zr at (0.0000, 0.0000, 0.5000), O at (0.0865, 0.3750, 0.8750) and O at (0.1250, 0.1250, 0.1250).



# 8
## NiW (PBE-GGA)

Data for crystalline NiW at its relaxed geometry.

As for the total energy: -219.69 eV for the cell shown. Its mass density is 15.1 g cm⁻³. Its calculated formation energy is 0.110 eV per atom. The value obtained for the volume is 13.36 A^3/atom.

It has space group Cmcm (No. 63), with a = 4.8063 Å, b = 8.5270 Å, c = 7.8236 Å, α = 90.00°, β = 90.00° and γ = 90.00°. The inequivalent atoms are Ni at (0.0000, 0.0000, 0.0000), Ni at (0.2457, 0.4197, 0.2500), W at (0.0000, 0.1725, 0.2500) and W at (0.0000, 0.3378, 0.5616).